# MgFe2PdW

Crystalline MgFe2PdW at its relaxed geometry (PBE, the Alexandria database).

Formation energy, eV/f.u.: 8.6
Energy relative to the lowest polymorph listed for this composition, meV per atom: 614
Total magnetization, μB/f.u.: 0.0
Energy, eV per atom: -5.611

Cell: 4.226 4.226 4.250 Å, 90.00 90.00 90.00°
Space group P4/mmm (No. 123)
One atom of each set of equivalent atoms:
Mg1 0.000 0.000 0.000 (multiplicity 1)
Fe1 0.000 0.500 0.000 (multiplicity 2)
Pd1 0.000 0.000 0.500 (multiplicity 1)
W1 0.500 0.500 0.500 (multiplicity 1)